Entry from OQMD via LeMat-Bulk: a relaxed structure of LaTmTl2 (PBE).

Cell: 3.809 3.809 7.877 Å, 90.00 90.00 90.00°
Sites, in units of the cell vectors:
La  0.500  0.500  0.500
Tl  0.000  0.000  0.228
Tm  0.500  0.500  0.000
Tl  0.000  0.000  0.772

space-group type: P4/mmm
VASP energy: -3.904 eV per atom
mass density: 10.4 g/cm3